1.
DFT (PBEsol) results for MnAg2Au after structural relaxation.

Cell lengths 3.938, 3.938, 8.273 Å; angles 90.00, 90.00, 90.00 degrees
Positions (direct):
Mn (0.000, 0.000, 0.000)
Mn (0.500, 0.500, 0.500)
Ag (0.000, 0.500, 0.250)
Ag (0.000, 0.500, 0.750)
Ag (0.500, 0.000, 0.250)
Ag (0.500, 0.000, 0.750)
Au (0.000, 0.000, 0.500)
Au (0.500, 0.500, 0.000)

VASP energy in eV per atom: -4.989
D(E_F) in states/eV/cell: 2.90
Space-group type: I4/mmm
Formation enthalpy at 0 K in meV per atom: 88
Size of the total moment in μB per formula unit: 4.19


2.
DFT (PBEsol) results for AlGe3Sb after structural relaxation.

Cell lengths 4.856, 4.856, 4.856 Å; angles 90.00, 90.00, 90.00 degrees
Positions (direct):
Al (0.000, 0.000, 0.000)
Ge (0.000, 0.000, 0.500)
Ge (0.000, 0.500, 0.000)
Ge (0.500, 0.000, 0.000)
Sb (0.500, 0.500, 0.500)

VASP energy in eV per atom: -4.182
D(E_F) in states/eV/cell: 1.87
Formation energy without anion corrections in eV/atom: 0.511
Space-group type: Pm-3m
Size of the total moment in μB per formula unit: 0.00


3.
DFT (PBEsol) results for HgPt3 after structural relaxation.

Cell lengths 2.832, 3.923, 5.797 Å; angles 90.00, 90.00, 90.00 degrees
Positions (direct):
Hg (0.000, 0.000, 0.000)
Pt (0.000, 0.000, 0.500)
Pt (0.500, 0.500, 0.264)
Pt (0.500, 0.500, 0.736)

VASP energy in eV per atom: -5.317
D(E_F) in states/eV/cell: 5.34
Space-group type: Pmmm
Formation enthalpy at 0 K in meV per atom: 48
Size of the total moment in μB per formula unit: 0.00


4.
DFT (PBEsol) results for Fe2AsP after structural relaxation.

Cell lengths 2.735, 2.735, 26.651 Å; angles 90.00, 90.00, 120.00 degrees
Positions (direct):
Fe (0.000, 0.000, 0.000)
Fe (0.000, 0.000, 0.262)
Fe (0.333, 0.667, 0.667)
Fe (0.333, 0.667, 0.929)
Fe (0.667, 0.333, 0.333)
Fe (0.667, 0.333, 0.596)
As (0.000, 0.000, 0.526)
As (0.333, 0.667, 0.192)
As (0.667, 0.333, 0.859)
P (0.000, 0.000, 0.728)
P (0.333, 0.667, 0.394)
P (0.667, 0.333, 0.061)

VASP energy in eV per atom: -7.119
D(E_F) in states/eV/cell: 7.98
Space-group type: R3m
Formation enthalpy at 0 K in meV per atom: 87
Size of the total moment in μB per formula unit: 3.40


5.
DFT (PBEsol) results for TaCdIn2 after structural relaxation.

Cell lengths 3.129, 4.228, 6.118 Å; angles 90.00, 90.00, 90.00 degrees
Positions (direct):
Ta (0.000, 0.000, 0.000)
Cd (0.000, 0.000, 0.500)
In (0.500, 0.500, 0.241)
In (0.500, 0.500, 0.759)

VASP energy in eV per atom: -4.691
D(E_F) in states/eV/cell: 1.93
Space-group type: Pmmm
Formation enthalpy at 0 K in meV per atom: 238
Size of the total moment in μB per formula unit: 0.00


6.
DFT (PBEsol) results for TcSb2As after structural relaxation.

Cell lengths 3.413, 5.042, 9.504 Å; angles 90.00, 90.00, 90.00 degrees
Positions (direct):
Tc (0.000, 0.000, 0.000)
Tc (0.500, 0.500, 0.000)
Sb (0.000, 0.500, 0.219)
Sb (0.000, 0.500, 0.781)
Sb (0.500, 0.000, 0.219)
Sb (0.500, 0.000, 0.781)
As (0.000, 0.000, 0.500)
As (0.500, 0.500, 0.500)

Energy above the most stable polymorph in this dataset in kJ per mole of atoms: 43.26
VASP energy in eV per atom: -5.901
D(E_F) in states/eV/cell: 7.14
Formation energy without anion corrections in eV/atom: 0.470
Space-group type: Cmmm
Size of the total moment in μB per formula unit: 0.00


7.
DFT (PBEsol) results for Cr2CoSi after structural relaxation.

Cell lengths 3.345, 3.345, 7.720 Å; angles 90.00, 90.00, 90.00 degrees
Positions (direct):
Cr (0.000, 0.500, 0.250)
Cr (0.000, 0.500, 0.750)
Cr (0.500, 0.000, 0.250)
Cr (0.500, 0.000, 0.750)
Co (0.000, 0.000, 0.000)
Co (0.500, 0.500, 0.500)
Si (0.000, 0.000, 0.500)
Si (0.500, 0.500, 0.000)

VASP energy in eV per atom: -8.811
D(E_F) in states/eV/cell: 3.61
Formation energy without anion corrections in eV/atom: -0.319
Space-group type: I4/mmm
Size of the total moment in μB per formula unit: 0.00


8.
DFT (PBEsol) results for BaTc2Br after structural relaxation.

Cell lengths 5.672, 11.260, 3.339 Å; angles 90.00, 125.77, 90.00 degrees
Positions (direct):
Ba (0.000, 0.000, 0.000)
Ba (0.500, 0.500, 0.000)
Tc (0.250, 0.250, 0.000)
Tc (0.250, 0.750, 0.000)
Tc (0.750, 0.250, 0.000)
Tc (0.750, 0.750, 0.000)
Br (0.000, 0.500, 0.000)
Br (0.500, 0.000, 0.000)

Energy above the most stable polymorph in this dataset in kJ per mole of atoms: 62.20
VASP energy in eV per atom: -5.695
D(E_F) in states/eV/cell: 10.09
Formation energy without anion corrections in eV/atom: 0.943
Space-group type: C2/m
Size of the total moment in μB per formula unit: 0.00